Compound: SrLaY2Os
Source: Alexandria via LeMat-Bulk
Functional: PBE
Structure: optimized geometry

POSCAR file:
```
SrLaY2Os
1.0
5.586 0.000 0.000
0.000 5.586 0.000
0.000 0.000 5.636
Y Sr Os La
2 1 1 1
Direct
0.500 0.000 0.000
0.000 0.500 0.000
0.500 0.500 0.500
0.000 0.000 0.000
0.000 0.000 0.500
```

Computed properties:
density of states at the Fermi level: 3.5 states/eV per cell
offset from the most stable computed form: 0.0000 eV per atom
magnetic moment: 0.00 μB per formula unit
theoretical density: 5.6 g/cm3
SG: P4/mmm (123)
calculated formation energy: -0.08 eV/atom


Compound: Al2TlIrO
Source: Alexandria via LeMat-Bulk
Functional: PBE
Structure: optimized geometry

POSCAR file:
```
Al2TlIrO
1.0
5.224 0.000 0.000
0.000 4.019 0.000
0.000 0.000 5.224
Al Tl O Ir
2 1 1 1
Direct
0.500 0.000 0.000
0.000 0.000 0.500
0.000 0.000 0.000
0.000 0.500 0.000
0.500 0.500 0.500
```

Computed properties:
formation energy without anion corrections: 121.10 kJ/mol of atoms
density of states at the Fermi level: 5.4 states/eV per cell
magnetic moment: 0.74 μB per formula unit
theoretical density: 7.1 g/cm3
SG: P4/mmm (123)


Compound: Ni2Ir2Ru
Source: Alexandria via LeMat-Bulk
Functional: PBE
Structure: optimized geometry

POSCAR file:
```
Ni2Ir2Ru
1.0
7.078 0.000 0.000
0.000 7.078 0.000
0.000 0.000 2.740
Ni Ir Ru
4 4 2
Direct
0.669 0.831 0.500
0.331 0.169 0.500
0.831 0.331 0.500
0.169 0.669 0.500
0.871 0.629 0.000
0.629 0.129 0.000
0.371 0.871 0.000
0.129 0.371 0.000
0.500 0.500 0.000
0.000 0.000 0.000
```

Computed properties:
density of states at the Fermi level: 16.3 states/eV per cell
offset from the most stable computed form: 0.3415 eV per atom
magnetic moment: 2.17 μB per formula unit
theoretical density: 14.6 g/cm3
SG: P4/mbm (127)
calculated formation energy: 0.36 eV/atom


Compound: Be2CdNF
Source: Alexandria via LeMat-Bulk
Functional: PBE
Structure: optimized geometry

POSCAR file:
```
Be2CdNF
1.0
4.705 0.000 0.000
0.000 4.602 0.000
0.000 0.000 4.705
F N Cd Be
1 1 1 2
Direct
0.000 0.500 0.000
0.500 0.500 0.500
0.000 0.000 0.000
0.500 0.000 0.000
0.000 0.000 0.500
```

Computed properties:
formation energy without anion corrections: 138.23 kJ/mol of atoms
density of states at the Fermi level: 2.2 states/eV per cell
magnetic moment: 2.62 μB per formula unit
theoretical density: 2.7 g/cm3
SG: P4/mmm (123)


Compound: PaVCuTc
Source: Alexandria via LeMat-Bulk
Functional: PBE
Structure: optimized geometry

POSCAR file:
```
PaVCuTc
1.0
4.587 0.000 0.000
2.294 3.973 0.000
2.294 1.324 3.746
Pa V Cu Tc
1 1 1 1
Direct
0.000 0.000 0.000
0.500 0.500 0.500
0.250 0.250 0.250
0.750 0.750 0.750
```

Computed properties:
density of states at the Fermi level: 5.5 states/eV per cell
magnetic moment: 1.32 μB per formula unit
theoretical density: 10.8 g/cm3
SG: F-43m (216)
calculated formation energy: 0.13 eV/atom


Compound: AlNiP4
Source: Alexandria via LeMat-Bulk
Functional: PBE
Structure: optimized geometry

POSCAR file:
```
AlNiP4
1.0
0.556 -3.562 -3.430
-3.833 -2.950 -1.168
-2.221 0.444 -4.431
Al Ni P
1 1 4
Direct
0.750 0.750 0.750
0.000 0.000 0.000
0.374 0.374 0.878
0.374 0.878 0.374
0.878 0.374 0.374
0.374 0.374 0.374
```

Computed properties:
density of states at the Fermi level: 3.5 states/eV per cell
magnetic moment: 0.00 μB per formula unit
theoretical density: 4.0 g/cm3
SG: F-43m (216)
calculated formation energy: 0.61 eV/atom